LiAsF2 after structural relaxation. Source: Alexandria, functional PBE.

Computed properties:
Its crystal system is trigonal. The value obtained for the energy above the most stable polymorph in this dataset is 0 meV/atom. The calculation puts the raw total energy at -4.62 eV per atom.

The structure in CIF format:
```
data_LiAsF2
_chemical_formula_sum 'Li3 As3 F6'
_cell_length_a 2.9986
_cell_length_b 2.9986
_cell_length_c 18.9781
_cell_angle_alpha 90.00
_cell_angle_beta 90.00
_cell_angle_gamma 120.00
_symmetry_space_group_name_H-M 'R -3 m'
_symmetry_Int_Tables_number 166
_symmetry_space_group_name_Hall '-R 3 2"'
loop_
_atom_site_label
_atom_site_type_symbol
_atom_site_fract_x
_atom_site_fract_y
_atom_site_fract_z
_atom_site_occupancy
Li1 Li 0.0000 0.0000 0.0000 1
As1 As 0.0000 0.0000 0.5000 1
F1 F 0.0000 0.0000 0.3909 1
```